Record 1
Compound: MnCr5Co6
Source: the Alexandria database
Functional: PBE
Structure: optimized geometry

Lattice parameters (Å, degrees): 4.3165 4.9563 6.0758 90.00 90.68 90.00
Element x y z (fractional)
Mn: 0.0000 0.0000 0.0000
Cr: 0.0000 0.5000 0.0000
Cr: 0.3295 0.0000 0.3319
Cr: 0.3333 0.5000 0.3354
Cr: 0.6667 0.5000 0.6646
Cr: 0.6705 0.0000 0.6681
Co: 0.1679 0.2490 0.6670
Co: 0.1679 0.7510 0.6670
Co: 0.5000 0.2486 0.0000
Co: 0.5000 0.7514 0.0000
Co: 0.8321 0.2490 0.3330
Co: 0.8321 0.7510 0.3330

Properties
- ΔE_f: 33 meV per atom
- Crystal system: monoclinic



Record 2
Compound: Mn2CrCo
Source: the Alexandria database
Functional: PBE
Structure: optimized geometry

Lattice parameters (Å, degrees): 2.4701 3.9753 4.6710 90.00 97.82 90.00
Element x y z (fractional)
Mn: 0.2327 0.0000 0.2497
Mn: 0.7673 0.0000 0.7503
Cr: 0.0000 0.5000 0.5000
Co: 0.5000 0.5000 0.0000

Properties
- ΔE_f: 112 meV per atom
- Crystal system: monoclinic



Record 3
Compound: MnCrCoMo2
Source: the Alexandria database
Functional: PBE
Structure: optimized geometry

Lattice parameters (Å, degrees): 4.3986 4.3986 4.1187 90.00 90.00 90.00
Element x y z (fractional)
Mn: 0.0000 0.0000 0.0000
Cr: 0.5000 0.5000 0.5000
Co: 0.0000 0.0000 0.5000
Mo: 0.0000 0.5000 0.0000
Mo: 0.5000 0.0000 0.0000

Properties
- ΔE_f: 1391 meV per atom
- Crystal system: tetragonal



Record 4
Compound: MnCrCoMo
Source: the Alexandria database
Functional: PBE
Structure: optimized geometry

Lattice parameters (Å, degrees): 4.1494 4.1494 4.1494 60.00 60.00 60.00
Element x y z (fractional)
Mn: 0.0000 0.0000 0.0000
Cr: 0.5000 0.5000 0.5000
Co: 0.7500 0.7500 0.7500
Mo: 0.2500 0.2500 0.2500

Properties
- ΔE_f: 102 meV per atom
- Crystal system: cubic



Record 5
Compound: MnCr2CoN
Source: the Alexandria database
Functional: PBE
Structure: optimized geometry

Lattice parameters (Å, degrees): 3.7900 3.7900 3.7537 90.00 90.00 90.00
Element x y z (fractional)
Mn: 0.0000 0.0000 0.0000
Cr: 0.0000 0.5000 0.5000
Cr: 0.5000 0.0000 0.5000
Co: 0.5000 0.5000 0.0000
N: 0.0000 0.0000 0.5000

Properties
- Raw formation energy: -0.137 eV per atom
- Crystal system: tetragonal



Record 6
Compound: MnNbCrCo
Source: the Alexandria database
Functional: PBE
Structure: optimized geometry

Lattice parameters (Å, degrees): 4.2243 4.2243 4.2243 60.00 60.00 60.00
Element x y z (fractional)
Mn: 0.0000 0.0000 0.0000
Nb: 0.5000 0.5000 0.5000
Cr: 0.2500 0.2500 0.2500
Co: 0.7500 0.7500 0.7500

Properties
- ΔE_f: 43 meV per atom
- Crystal system: cubic



Record 7
Compound: MnCrCoNi
Source: the Alexandria database
Functional: PBE
Structure: optimized geometry

Lattice parameters (Å, degrees): 3.9996 3.9996 3.9996 60.00 60.00 60.00
Element x y z (fractional)
Mn: 0.0000 0.0000 0.0000
Cr: 0.7500 0.7500 0.7500
Co: 0.5000 0.5000 0.5000
Ni: 0.2500 0.2500 0.2500

Properties
- ΔE_f: 104 meV per atom
- Crystal system: cubic



no.,total DFT energy (no corrections) (eV/atom)
1,-8.2943
2,-8.6553
3,-8.1216
4,-9.0808
5,-8.9062
6,-8.9493
7,-7.8160